# 1
Below is a geometry-optimized Ti8Nb2Rh structure, with properties calculated at the GGA-PBE level.

Summary:
DFT total energy (eV per cell): -92.28
Formation enthalpy at 0 K (eV per atom): -0.15
Total magnetic moment (μB/f.u.): 0.000

Lattice parameters (Å, degrees): 7.963 7.963 5.353 90.59 90.59 33.24
Fractional coordinates of all 11 atoms:
Ti  0.045  0.045  0.275
Ti  0.144  0.144  0.798
Ti  0.329  0.329  0.907
Ti  0.417  0.417  0.418
Ti  0.583  0.583  0.582
Ti  0.671  0.671  0.093
Ti  0.856  0.856  0.202
Ti  0.955  0.955  0.725
Nb  0.231  0.231  0.350
Nb  0.769  0.769  0.650
Rh  0.500  0.500  0.000

=====

# 2
Below is a geometry-optimized Ni3GePt structure, with properties calculated at the GGA-PBE level.

Summary:
DFT total energy (eV per cell): -24.59
Formation enthalpy at 0 K (eV per atom): 0.68
Total magnetic moment (μB/f.u.): 0.000

Lattice parameters (Å, degrees): 4.262 4.262 4.262 90.00 90.00 90.00
Fractional coordinates of all 5 atoms:
Ni  0.000  0.000  0.500
Ni  0.000  0.500  0.000
Ni  0.500  0.000  0.000
Ge  0.000  0.000  0.000
Pt  0.500  0.500  0.500